Entry 1:
The following is a DFT calculation (PBE) of a geometry-optimized SrLaAsSe2 structure.

Values from the calculation:
Raw total energy, eV for the cell shown: -22.80
Offset from the most stable computed form, meV/atom: 0.0
Formation energy without anion corrections, eV per atom: -0.915
Fermi-level density of states, states/eV/cell: 5.2

Lattice parameters (Å, degrees): 5.7044 5.7044 5.5824 90.00 90.00 90.00
With the nearest neighbours (Å) after each atom.
Space group P4/mmm (No. 123)
One atom of each set of equivalent atoms:
Sr 0.0000 0.0000 0.0000 [1 per cell]  8 Se 3.99, 4 As 4.03
La 0.5000 0.5000 0.5000 [1 per cell]  2 As 2.79, 4 Se 2.85
As 0.5000 0.5000 0.0000 [1 per cell]  2 La 2.79
Se 0.0000 0.5000 0.5000 [2 per cell]  2 La 2.85

***

Entry 2:
The following is a DFT calculation (PBE) of a geometry-optimized Ba2LiW structure.

Values from the calculation:
Raw total energy, eV for the cell shown: -28.10
Offset from the most stable computed form, meV/atom: 177.2
Fermi-level density of states, states/eV/cell: 9.9
Formation energy, eV/atom: 1.17

Lattice parameters (Å, degrees): 5.0027 5.0027 10.6841 90.00 90.00 90.00
With the nearest neighbours (Å) after each atom.
Space group I-4m2 (No. 119)
One atom of each set of equivalent atoms:
Ba 0.0000 0.0000 0.0000 [2 per cell]  4 W 3.54, 4 Ba 3.66, 4 Li 3.66
Ba 0.0000 0.5000 0.2500 [2 per cell]  4 Li 3.54, 4 Ba 3.66, 4 W 3.66
Li 0.0000 0.5000 0.7500 [2 per cell]  8 Ba 3.54-3.66, 4 W 3.66
W 0.0000 0.0000 0.5000 [2 per cell]  8 Ba 3.54-3.66, 4 Li 3.66

***

Entry 3:
The following is a DFT calculation (PBE) of a geometry-optimized YBrO2F structure.

Values from the calculation:
Raw total energy, eV for the cell shown: -22.61
Formation energy without anion corrections, eV per atom: -0.537
Fermi-level density of states, states/eV/cell: 0.8

Lattice parameters (Å, degrees): 4.3776 4.3776 3.8986 90.00 90.00 90.00
With the nearest neighbours (Å) after each atom.
Space group P4/mmm (No. 123)
One atom of each set of equivalent atoms:
Y 0.0000 0.0000 0.0000 [1 per cell]  8 O 2.93, 4 Br 3.10
Br 0.5000 0.5000 0.0000 [1 per cell]  2 F 1.95
O 0.0000 0.5000 0.5000 [2 per cell]  2 F 2.19
F 0.5000 0.5000 0.5000 [1 per cell]  2 Br 1.95

***

Entry 4:
The following is a DFT calculation (PBE) of a geometry-optimized AcLu2Ag structure.

Values from the calculation:
Raw total energy, eV for the cell shown: -45.55
Offset from the most stable computed form, meV/atom: 300.6
Fermi-level density of states, states/eV/cell: 13.8
Formation energy, eV/atom: 0.20

Lattice parameters (Å, degrees): 3.5571 3.5571 34.3440 90.00 90.00 120.00
With the nearest neighbours (Å) after each atom.
Space group R-3m (No. 166, hexagonal axes)
One atom of each set of equivalent atoms:
Ac 0.0000 0.0000 0.0000 [3 per cell]  2 Lu 3.52, 6 Ac 3.56
Lu 0.0000 0.0000 0.1025 [6 per cell]  3 Ag 3.01
Ag 0.0000 0.0000 0.5000 [3 per cell]  6 Lu 3.01

***

Entry 5:
The following is a DFT calculation (PBE) of a geometry-optimized Ac2YP3Rh12 structure.

Values from the calculation:
Raw total energy, eV for the cell shown: -373.52
Fermi-level density of states, states/eV/cell: 48.6
Formation energy, eV/atom: -0.30

Lattice parameters (Å, degrees): 8.6108 8.6108 15.6587 90.00 90.00 120.00
With the nearest neighbours (Å) after each atom.
Space group R-3m (No. 166, hexagonal axes)
One atom of each set of equivalent atoms:
Ac 0.0000 0.0000 0.1071 [6 per cell]  3 Rh 2.72
Y 0.0000 0.0000 0.5000 [3 per cell]  6 Rh 2.64
P 0.0000 0.5000 0.0000 [9 per cell]  6 Rh 2.19-2.32
Rh 0.0168 0.5084 0.8601 [18 per cell]  1 P 2.19
Rh 0.0576 0.5288 0.3516 [18 per cell]  2 P 2.32

***

Entry 6:
The following is a DFT calculation (PBE) of a geometry-optimized TbPr2Rh structure.

Values from the calculation:
Raw total energy, eV for the cell shown: -93.05
Offset from the most stable computed form, meV/atom: 0.0
Fermi-level density of states, states/eV/cell: 18.4
Formation energy, eV/atom: -0.43

Lattice parameters (Å, degrees): 7.3194 10.0453 6.4094 90.00 90.00 90.00
With the nearest neighbours (Å) after each atom.
Space group Pnma (No. 62)
One atom of each set of equivalent atoms:
Tb 0.0372 0.2500 0.1527 [4 per cell]  2 Rh 2.81-2.83
Pr 0.1776 0.0661 0.6696 [8 per cell]  2 Rh 2.94-2.97
Rh 0.1237 0.7500 0.4463 [4 per cell]  2 Tb 2.81-2.83, 4 Pr 2.94-2.97

***

Which of these has the lowest Fermi-level density of states?
YBrO2F

***

Fermi-level density of states of number 4 (AcLu2Ag)?
13.8 states/eV/cell